VASP calculation (GGA-PBE) on crystalline Tb5Nd12Al2 at its relaxed geometry.

Spin magnetization ... 0.00 μB per cell
VASP energy ... -4.564 eV per atom

Unit cell a=8.0891 b=9.8708 c=9.0272 alpha=73.39 beta=90.00 gamma=114.19
Last column: nearest neighbours and their distance in Å.
Positions (direct):
1 Tb 0.2483 0.4965 0.7831  9 Nd 3.41-3.76
2 Tb 0.3164 0.6328 0.1655  2 Al 3.43, 6 Nd 3.54-3.69
3 Tb 0.0000 0.0000 0.5000  6 Nd 3.39-3.44
4 Tb 0.6836 0.3672 0.8345  2 Al 3.43, 6 Nd 3.54-3.69
5 Tb 0.7517 0.5035 0.2169  9 Nd 3.41-3.76
6 Nd 0.9493 0.8986 0.1687  3 Nd 3.02-3.36, 2 Al 3.13
7 Nd 0.0624 0.7252 0.8658  2 Nd 3.23-3.28, 1 Al 3.28, 3 Tb 3.41-3.56
8 Nd 0.6628 0.7252 0.8658  2 Nd 3.23-3.28, 1 Al 3.28, 3 Tb 3.41-3.56
9 Nd 0.0812 0.6927 0.4696  4 Nd 3.35-3.69, 3 Tb 3.44-3.65
10 Nd 0.6114 0.6927 0.4696  4 Nd 3.35-3.69, 3 Tb 3.44-3.65
11 Nd 0.4800 0.9600 0.6919  2 Al 3.19, 3 Nd 3.28-3.31
12 Nd 0.5200 0.0400 0.3081  2 Al 3.19, 3 Nd 3.28-3.31
13 Nd 0.9188 0.3073 0.5304  4 Nd 3.35-3.69, 3 Tb 3.44-3.65
14 Nd 0.3886 0.3073 0.5304  4 Nd 3.35-3.69, 3 Tb 3.44-3.65
15 Nd 0.9376 0.2748 0.1342  2 Nd 3.23-3.28, 1 Al 3.28, 3 Tb 3.41-3.56
16 Nd 0.3372 0.2748 0.1342  2 Nd 3.23-3.28, 1 Al 3.28, 3 Tb 3.41-3.56
17 Nd 0.0507 0.1014 0.8313  3 Nd 3.02-3.36, 2 Al 3.13
18 Al 0.6610 0.0000 0.0000  1 Al 2.60
19 Al 0.3390 0.0000 0.0000  1 Al 2.60